Density functional theory data (GGA+U) for a relaxed structure of Cs4Dy3MnO8.

Structure (POSCAR):
```
Cs4Dy3MnO8
1.0
6.219 -3.441 0.000
6.219 3.441 0.000
-3.925 0.000 6.869
Cs Dy Mn O
4 3 1 8
Direct
0.000 0.000 0.000 Cs
0.000 0.500 0.000 Cs
0.500 0.000 0.000 Cs
0.500 0.500 0.000 Cs
0.000 0.000 0.500 Dy
0.000 0.500 0.500 Dy
0.500 0.000 0.500 Dy
0.500 0.500 0.500 Mn
0.215 0.215 0.664 O
0.249 0.249 0.311 O
0.249 0.694 0.648 O
0.306 0.751 0.352 O
0.694 0.249 0.648 O
0.751 0.306 0.352 O
0.751 0.751 0.689 O
0.785 0.785 0.336 O
```

Values from the calculation:
Total magnetization   3.95 μB/f.u.
Raw total energy   -100.54 eV/cell